Density functional theory data (GGA-PBE) for crystalline NaCrS2Cl at its relaxed geometry.

Cell lengths 4.401, 4.401, 5.275 Å; angles 90.00, 90.00, 90.00 degrees
Fractional coordinates of all 5 atoms:
Na1 0.000 0.000 0.000
Cr1 0.500 0.500 0.500
S1 0.000 0.500 0.500
S2 0.500 0.000 0.500
Cl1 0.500 0.500 0.000

- Space-group type: No. 123
- Excess energy over the best structure of this formula in the dataset: 0 meV per atom
- DOS at the Fermi energy: 5.9 states/eV/f.u.
- Energy relative to the elements, uncorrected: -0.56 eV/atom

***

Density functional theory data (GGA-PBE) for crystalline IrSI at its relaxed geometry.

Cell lengths 3.742, 4.639, 9.379 Å; angles 90.00, 90.30, 90.00 degrees
Fractional coordinates of all 6 atoms:
Ir1 0.249 0.250 0.390
Ir2 0.751 0.750 0.610
S1 0.249 0.750 0.452
S2 0.751 0.250 0.548
I1 0.254 0.750 0.819
I2 0.746 0.250 0.181

- Space-group type: No. 11
- Excess energy over the best structure of this formula in the dataset: 0 meV per atom
- DOS at the Fermi energy: 0.5 states/eV/f.u.
- Energy relative to the elements, uncorrected: -0.21 eV/atom

***

Density functional theory data (GGA-PBE) for crystalline Pm2ThRu3 at its relaxed geometry.

Cell lengths 6.399, 6.399, 6.399 Å; angles 137.35, 127.74, 69.66 degrees
Fractional coordinates of all 6 atoms:
Pm1 0.168 0.168 0.000
Pm2 0.832 0.832 0.000
Th1 0.500 0.500 0.000
Ru1 0.000 0.500 0.500
Ru2 0.359 0.859 0.500
Ru3 0.641 0.141 0.500

- Space-group type: No. 71
- Excess energy over the best structure of this formula in the dataset: 292 meV per atom
- Formation energy: 24 meV/atom
- DOS at the Fermi energy: 5.9 states/eV/f.u.